The following is a DFT calculation (PBE-GGA) of a relaxed TbTlOsO6 crystal.

a b c (Å): 5.671 5.671 5.527
angles (deg): 90.00 90.00 120.00
Positions (direct):
Tb1 0.000 0.000 0.000
Tl1 0.667 0.333 0.500
Os1 0.333 0.667 0.000
O1 0.078 0.382 0.197
O2 0.078 0.696 0.803
O3 0.304 0.382 0.803
O4 0.304 0.922 0.197
O5 0.618 0.696 0.197
O6 0.618 0.922 0.803

ρ ... 7008 kg/m3
Space-group type ... P312
Energy relative to the elements, uncorrected ... -1571 meV/atom
Volume ... 154 Å³ per cell

---

The following is a DFT calculation (PBE-GGA) of a relaxed CeCd2Hg8 crystal.

a b c (Å): 9.340 9.340 5.253
angles (deg): 93.35 93.35 38.83
Positions (direct):
Ce1 0.000 0.000 0.000
Cd1 0.265 0.265 0.564
Cd2 0.735 0.735 0.436
Hg1 0.155 0.667 0.478
Hg2 0.188 0.188 0.045
Hg3 0.333 0.845 0.522
Hg4 0.407 0.407 0.984
Hg5 0.593 0.593 0.016
Hg6 0.667 0.155 0.478
Hg7 0.812 0.812 0.955
Hg8 0.845 0.333 0.522

ρ ... 11406 kg/m3
Space-group type ... C2/m
Energy of formation ... -0.0742 eV per atom
Volume ... 287 Å³ per cell
Energy relative to the lowest polymorph listed for this composition ... 0.00 eV/f.u.

---

The following is a DFT calculation (PBE-GGA) of a relaxed TbHoGaIr crystal.

a b c (Å): 7.009 7.009 7.009
angles (deg): 90.00 90.00 90.00
Positions (direct):
Tb1 0.000 0.000 0.000
Tb2 0.000 0.500 0.500
Tb3 0.500 0.000 0.500
Tb4 0.500 0.500 0.000
Ho1 0.000 0.000 0.500
Ho2 0.000 0.500 0.000
Ho3 0.500 0.000 0.000
Ho4 0.500 0.500 0.500
Ga1 0.250 0.250 0.250
Ga2 0.250 0.750 0.750
Ga3 0.750 0.250 0.750
Ga4 0.750 0.750 0.250
Ir1 0.250 0.250 0.750
Ir2 0.250 0.750 0.250
Ir3 0.750 0.250 0.250
Ir4 0.750 0.750 0.750

ρ ... 11302 kg/m3
Space-group type ... F-43m
Energy of formation ... -0.6794 eV per atom
Volume ... 344 Å³ per cell
Energy relative to the lowest polymorph listed for this composition ... 0.27 eV/f.u.

---

The following is a DFT calculation (PBE-GGA) of a relaxed Cs2AcPa2S7 crystal.

a b c (Å): 14.471 14.471 14.471
angles (deg): 159.12 159.12 29.70
Positions (direct):
Cs1 0.188 0.188 0.000
Cs2 0.812 0.812 0.000
Ac1 0.000 0.000 0.000
Pa1 0.407 0.407 0.000
Pa2 0.593 0.593 0.000
S1 0.074 0.574 0.500
S2 0.317 0.317 0.000
S3 0.426 0.926 0.500
S4 0.500 0.500 0.000
S5 0.574 0.074 0.500
S6 0.683 0.683 0.000
S7 0.926 0.426 0.500

ρ ... 5088 kg/m3
Space-group type ... I4/mmm
Energy relative to the elements, uncorrected ... -1638 meV/atom
Volume ... 385 Å³ per cell